Record 1
Compound: DyCuSn2Pd4
Source: Alexandria via LeMat-Bulk
Functional: PBE-GGA
Structure: optimized geometry

a b c (Å): 4.6423 4.6423 8.1386
angles (deg): 73.43 73.43 60.00
Element x y z (fractional)
Dy 0.0000 0.0000 0.0000
Pd 0.1283 0.1283 0.6152
Pd 0.6122 0.6122 0.1634
Pd 0.8717 0.8717 0.3848
Pd 0.3878 0.3878 0.8366
Cu 0.5000 0.5000 0.5000
Sn 0.2476 0.2476 0.2571
Sn 0.7524 0.7524 0.7429

Properties
E: -5.285 eV/atom
formation energy from the elements: -0.60 eV/atom
DOS at the Fermi energy: 0.26 states/eV per atom
symmetry: R-3m

=====

Record 2
Compound: Tc2B2Pt
Source: Alexandria via LeMat-Bulk
Functional: PBE-GGA
Structure: optimized geometry

a b c (Å): 5.5735 5.5735 3.5929
angles (deg): 90.00 90.00 90.00
Element x y z (fractional)
Tc 0.3251 0.1749 0.5000
Tc 0.6749 0.8251 0.5000
Tc 0.8251 0.3251 0.5000
Tc 0.1749 0.6749 0.5000
B 0.6123 0.1123 0.0000
B 0.8877 0.6123 0.0000
B 0.3877 0.8877 0.0000
B 0.1123 0.3877 0.0000
Pt 0.0000 0.0000 0.0000
Pt 0.5000 0.5000 0.0000

Properties
E: -8.232 eV/atom
formation energy from the elements: -0.21 eV/atom
DOS at the Fermi energy: 0.77 states/eV per atom
symmetry: P4/mbm

=====

Record 3
Compound: Cd2BiAs
Source: Alexandria via LeMat-Bulk
Functional: PBE-GGA
Structure: optimized geometry

a b c (Å): 6.7624 6.7624 7.4771
angles (deg): 63.11 63.11 90.00
Element x y z (fractional)
Bi 0.0000 0.0000 0.0000
Bi 0.7500 0.2500 0.5000
Cd 0.8750 0.8322 0.7500
Cd 0.3750 0.4178 0.7500
Cd 0.5822 0.1250 0.2500
Cd 0.1678 0.6250 0.2500
As 0.2500 0.7500 0.5000
As 0.5000 0.5000 0.0000

Properties
E: -2.409 eV/atom
formation energy from the elements: 0.18 eV/atom
ΔE to the lowest computed polymorph: 0.39 eV/f.u.
DOS at the Fermi energy: 0.66 states/eV per atom
symmetry: I-42d

=====

Record 4
Compound: CsSe2N
Source: Alexandria via LeMat-Bulk
Functional: PBE-GGA
Structure: optimized geometry

a b c (Å): 6.6956 6.6956 6.6956
angles (deg): 38.41 38.41 38.41
Element x y z (fractional)
Se 0.8133 0.8133 0.8133
Se 0.1867 0.1867 0.1867
N 0.5000 0.5000 0.5000
Cs 0.0000 0.0000 0.0000

Properties
E: -3.362 eV/atom
E_form (uncorrected): 0.675 eV/atom
ΔE to the lowest computed polymorph: 1.76 eV/f.u.
DOS at the Fermi energy: 0.20 states/eV per atom
symmetry: R-3m

=====

Record 5
Compound: KSb2Pd2
Source: Alexandria via LeMat-Bulk
Functional: PBE-GGA
Structure: optimized geometry

a b c (Å): 8.4735 8.4735 3.1692
angles (deg): 90.00 90.00 90.00
Element x y z (fractional)
K 0.0000 0.0000 0.0000
K 0.5000 0.5000 0.0000
Pd 0.1269 0.3731 0.0000
Pd 0.3731 0.8731 0.0000
Pd 0.8731 0.6269 0.0000
Pd 0.6269 0.1269 0.0000
Sb 0.1508 0.6508 0.5000
Sb 0.8492 0.3492 0.5000
Sb 0.6508 0.8492 0.5000
Sb 0.3492 0.1508 0.5000

Properties
E: -4.277 eV/atom
E_form (uncorrected): -0.331 eV/atom
DOS at the Fermi energy: 0.40 states/eV per atom
symmetry: P4/mbm

=====

Record 6
Compound: LuMg2Hg
Source: Alexandria via LeMat-Bulk
Functional: PBE-GGA
Structure: optimized geometry

a b c (Å): 4.8226 4.3896 4.3896
angles (deg): 90.00 90.00 90.00
Element x y z (fractional)
Lu 0.5000 0.0000 0.0000
Mg 0.0000 0.5000 0.0000
Mg 0.0000 0.0000 0.5000
Hg 0.5000 0.5000 0.5000

Properties
E: -2.217 eV/atom
formation energy from the elements: -0.21 eV/atom
ΔE to the lowest computed polymorph: 0.00 eV/f.u.
DOS at the Fermi energy: 0.65 states/eV per atom
symmetry: P4/mmm